No. 1
# AlPbI2

A relaxed AlPbI2 crystal (GGA-PBE, Alexandria via LeMat-Bulk).

Output
D(E_F): 1.7 states/eV/f.u.
Density: 6.3 g/cm3
SG: Fm-3m
Formation energy without anion corrections: 4 meV per atom

Unit cell a=5.6776 b=5.6776 c=5.6776 alpha=60.00 beta=60.00 gamma=60.00
With the nearest neighbours (Å) after each atom.
Fractional coordinates of all 4 atoms:
I  0.7500  0.7500  0.7500  4 Pb 3.48, 4 Al 3.48
I  0.2500  0.2500  0.2500  4 Pb 3.48, 4 Al 3.48
Al  0.0000  0.0000  0.0000  8 I 3.48
Pb  0.5000  0.5000  0.5000  8 I 3.48

No. 2
# ZrIO

A relaxed ZrIO crystal (GGA-PBE, Alexandria via LeMat-Bulk).

Output
D(E_F): 0.6 states/eV/f.u.
Density: 4.9 g/cm3
SG: Pmmn
Formation energy without anion corrections: -1975 meV per atom

Unit cell a=3.7949 b=4.4411 c=10.4546 alpha=115.10 beta=90.00 gamma=90.00
With the nearest neighbours (Å) after each atom.
Fractional coordinates of all 6 atoms:
Zr  0.2500  0.3089  0.5590  4 O 2.19-2.22
Zr  0.7500  0.6911  0.4410  4 O 2.19-2.22
I  0.2500  0.4484  0.1981  2 Zr 2.98
I  0.7500  0.5516  0.8019  2 Zr 2.98
O  0.7500  0.1938  0.4438  4 Zr 2.19-2.22
O  0.2500  0.8062  0.5562  4 Zr 2.19-2.22

No. 3
# Ca5InPd2

A relaxed Ca5InPd2 crystal (GGA-PBE, Alexandria via LeMat-Bulk).

Output
D(E_F): 4.0 states/eV/f.u.
Density: 3.8 g/cm3
E_form: -561.7 meV/atom
SG: I4/mcm

Unit cell a=7.9459 b=7.9459 c=9.1492 alpha=115.74 beta=115.74 gamma=90.00
With the nearest neighbours (Å) after each atom.
Fractional coordinates of all 16 atoms:
Pd  0.3731  0.8731  0.0000  1 Pd 2.85, 8 Ca 3.04-3.13
Pd  0.8731  0.6269  0.0000  1 Pd 2.85, 8 Ca 3.04-3.13
Pd  0.6269  0.1269  0.0000  1 Pd 2.85, 8 Ca 3.04-3.13
Pd  0.1269  0.3731  0.0000  1 Pd 2.85, 8 Ca 3.04-3.13
Ca  0.8040  0.9695  0.2735  3 Pd 3.04-3.08, 2 In 3.38
Ca  0.1960  0.0305  0.7265  3 Pd 3.04-3.08, 2 In 3.38
Ca  0.6960  0.1960  0.7265  3 Pd 3.04-3.08, 2 In 3.38
Ca  0.9695  0.4695  0.2735  3 Pd 3.04-3.08, 2 In 3.38
Ca  0.0305  0.5305  0.7265  3 Pd 3.04-3.08, 2 In 3.38
Ca  0.4695  0.3040  0.2735  3 Pd 3.04-3.08, 2 In 3.38
Ca  0.5000  0.5000  0.0000  4 Pd 3.13
Ca  0.5305  0.6960  0.7265  3 Pd 3.04-3.08, 2 In 3.38
Ca  0.3040  0.8040  0.2735  3 Pd 3.04-3.08, 2 In 3.38
Ca  0.0000  0.0000  0.0000  4 Pd 3.13
In  0.2500  0.2500  0.5000  10 Ca 3.38-3.61
In  0.7500  0.7500  0.5000  10 Ca 3.38-3.61

No. 4
# CdIr2S

A relaxed CdIr2S crystal (GGA-PBE, Alexandria via LeMat-Bulk).

Output
D(E_F): 0.8 states/eV/f.u.
Density: 12.6 g/cm3
SG: I-42d
Formation energy without anion corrections: 316 meV per atom

Unit cell a=6.9329 b=6.9329 c=5.6974 alpha=52.52 beta=52.52 gamma=90.00
With the nearest neighbours (Å) after each atom.
Fractional coordinates of all 8 atoms:
S  0.5000  0.5000  0.0000  4 Ir 2.20
S  0.2500  0.7500  0.5000  4 Ir 2.20
Cd  0.0000  0.0000  0.0000  2 S 2.90, 8 Ir 2.99-3.01
Cd  0.7500  0.2500  0.5000  2 S 2.90, 8 Ir 2.99-3.01
Ir  0.2108  0.6250  0.2500  2 S 2.20
Ir  0.5392  0.1250  0.2500  2 S 2.20
Ir  0.3750  0.4608  0.7500  2 S 2.20
Ir  0.8750  0.7892  0.7500  2 S 2.20

No. 5
# Rb2Te3Pb

A relaxed Rb2Te3Pb crystal (GGA-PBE, Alexandria via LeMat-Bulk).

Output
Density: 4.5 g/cm3
SG: Pnma
Formation energy without anion corrections: -651 meV per atom

Unit cell a=5.5126 b=9.3422 c=21.6333 alpha=90.00 beta=90.00 gamma=90.00
With the nearest neighbours (Å) after each atom.
Fractional coordinates of all 24 atoms:
Te  0.2500  0.6832  0.9565  3 Pb 3.25-3.28
Te  0.7500  0.9825  0.7411  2 Te 2.95-3.16
Te  0.2500  0.2705  0.3406  2 Te 2.95-3.16, 1 Pb 3.15
Te  0.7500  0.8168  0.4565  3 Pb 3.25-3.28
Te  0.2500  0.0175  0.2589  2 Te 2.95-3.16
Te  0.7500  0.3168  0.0435  3 Pb 3.25-3.28
Te  0.7500  0.4825  0.7589  2 Te 2.95-3.16
Te  0.2500  0.5175  0.2411  2 Te 2.95-3.16
Te  0.7500  0.7295  0.6594  2 Te 2.95-3.16, 1 Pb 3.15
Te  0.7500  0.2295  0.8406  2 Te 2.95-3.16, 1 Pb 3.15
Te  0.2500  0.1832  0.5435  3 Pb 3.25-3.28
Te  0.2500  0.7705  0.1594  2 Te 2.95-3.16, 1 Pb 3.15
Pb  0.2500  0.9875  0.4194  5 Te 3.15-3.48
Pb  0.7500  0.5125  0.9194  5 Te 3.15-3.48
Pb  0.2500  0.4875  0.0806  5 Te 3.15-3.48
Pb  0.7500  0.0125  0.5806  5 Te 3.15-3.48
Rb  0.2500  0.1424  0.9425  4 Te 3.62-3.88
Rb  0.7500  0.2600  0.2176  7 Te 3.68-3.83
Rb  0.2500  0.6424  0.5575  4 Te 3.62-3.88
Rb  0.2500  0.7400  0.7824  7 Te 3.68-3.83
Rb  0.7500  0.7600  0.2824  7 Te 3.68-3.83
Rb  0.7500  0.8576  0.0575  4 Te 3.62-3.88
Rb  0.7500  0.3576  0.4425  4 Te 3.62-3.88
Rb  0.2500  0.2400  0.7176  7 Te 3.68-3.83

No. 6
# PmSe4

A relaxed PmSe4 crystal (GGA-PBE, Alexandria via LeMat-Bulk).

Output
D(E_F): 5.3 states/eV/f.u.
Density: 4.1 g/cm3
SG: Pm-3m
Formation energy without anion corrections: 62 meV per atom

Unit cell a=5.7178 b=5.7178 c=5.7178 alpha=90.00 beta=90.00 gamma=90.00
With the nearest neighbours (Å) after each atom.
Fractional coordinates of all 5 atoms:
Se  0.0000  0.0000  0.0000  12 Se 4.04
Se  0.5000  0.0000  0.5000  2 Pm 2.86
Se  0.5000  0.5000  0.0000  2 Pm 2.86
Se  0.0000  0.5000  0.5000  2 Pm 2.86
Pm  0.5000  0.5000  0.5000  6 Se 2.86

No. 7
# NdTcP2Rh

A relaxed NdTcP2Rh crystal (GGA-PBE, Alexandria via LeMat-Bulk).

Output
D(E_F): 1.8 states/eV/f.u.
Density: 8.0 g/cm3
E_form: -1014.6 meV/atom
SG: I-4m2

Unit cell a=4.0897 b=4.0897 c=5.8153 alpha=110.59 beta=110.59 gamma=90.00
With the nearest neighbours (Å) after each atom.
Fractional coordinates of all 5 atoms:
P  0.6301  0.6301  0.2602  2 Tc 2.38, 2 Rh 2.38, 1 P 2.63
P  0.3699  0.3699  0.7398  2 Tc 2.38, 2 Rh 2.38, 1 P 2.63
Tc  0.7500  0.2500  0.5000  4 P 2.38
Rh  0.2500  0.7500  0.5000  4 P 2.38
Nd  0.0000  0.0000  0.0000  8 P 3.18, 4 Tc 3.25, 4 Rh 3.25

No. 8
# MnSnGe

A relaxed MnSnGe crystal (GGA-PBE, Alexandria via LeMat-Bulk).

Output
D(E_F): 2.1 states/eV/f.u.
Density: 6.9 g/cm3
E_form: 103.5 meV/atom
SG: I4/mmm

Unit cell a=3.3130 b=3.3130 c=11.0218 alpha=98.64 beta=98.64 gamma=90.00
With the nearest neighbours (Å) after each atom.
Fractional coordinates of all 6 atoms:
Sn  0.5751  0.5751  0.1502  1 Mn 2.99, 4 Ge 3.11, 5 Sn 3.24-3.31
Sn  0.4249  0.4249  0.8498  1 Mn 2.99, 4 Ge 3.11, 5 Sn 3.24-3.31
Ge  0.8301  0.8301  0.6602  5 Mn 2.51-2.53
Ge  0.1699  0.1699  0.3398  5 Mn 2.51-2.53
Mn  0.2863  0.2863  0.5726  5 Ge 2.51-2.53
Mn  0.7137  0.7137  0.4274  5 Ge 2.51-2.53

No. 9
# HoNbN2

A relaxed HoNbN2 crystal (GGA-PBE, Alexandria via LeMat-Bulk).

Output
D(E_F): 0.1 states/eV/f.u.
Density: 9.5 g/cm3
SG: R3m
Formation energy without anion corrections: -1331 meV per atom

Unit cell a=3.1843 b=3.1843 c=5.9655 alpha=74.52 beta=74.52 gamma=60.00
With the nearest neighbours (Å) after each atom.
Fractional coordinates of all 4 atoms:
Ho  0.6719  0.6719  0.9842  6 N 2.31-2.45
N  0.0876  0.0876  0.7371  3 Nb 2.25, 3 Ho 2.31
N  0.2436  0.2436  0.2692  3 Nb 2.29, 3 Ho 2.45
Nb  0.4968  0.4968  0.5095  6 N 2.25-2.29

No. 10
# ThSi2Pt5

A relaxed ThSi2Pt5 crystal (GGA-PBE, Alexandria via LeMat-Bulk).

Output
D(E_F): 4.3 states/eV/f.u.
Density: 15.2 g/cm3
SG: Immm
Formation energy without anion corrections: -920 meV per atom

Unit cell a=4.0091 b=6.3505 c=6.3505 alpha=67.13 beta=71.60 gamma=71.60
With the nearest neighbours (Å) after each atom.
Fractional coordinates of all 8 atoms:
Si  0.2442  0.2558  0.2558  3 Pt 2.34-2.39
Si  0.7558  0.7442  0.7442  3 Pt 2.34-2.39
Pt  0.6467  0.1496  0.5570  1 Si 2.34
Pt  0.3533  0.8504  0.4430  1 Si 2.34
Pt  0.6467  0.5570  0.1496  1 Si 2.34
Pt  0.3533  0.4430  0.8504  1 Si 2.34
Pt  0.0000  0.5000  0.5000  2 Si 2.39
Th  0.0000  0.0000  0.0000  4 Si 3.21, 10 Pt 3.23-3.51

No. 11
# CaTl2O3

A relaxed CaTl2O3 crystal (GGA-PBE, Alexandria via LeMat-Bulk).

Output
D(E_F): 1.7 states/eV/f.u.
Density: 6.8 g/cm3
SG: Cmcm
Formation energy without anion corrections: -840 meV per atom

Unit cell a=6.0288 b=7.0305 c=7.0305 alpha=125.16 beta=90.00 gamma=90.00
With the nearest neighbours (Å) after each atom.
Fractional coordinates of all 12 atoms:
O  0.2500  0.3976  0.1118  1 Ca 2.12, 2 Tl 2.33
O  0.2500  0.8882  0.6024  1 Ca 2.12, 2 Tl 2.33
O  0.2500  0.9268  0.0732  4 Tl 2.41
O  0.7500  0.6024  0.8882  1 Ca 2.12, 2 Tl 2.33
O  0.7500  0.1118  0.3976  1 Ca 2.12, 2 Tl 2.33
O  0.7500  0.0732  0.9268  4 Tl 2.41
Tl  0.5000  0.2537  0.2537  4 O 2.33-2.41
Tl  0.0000  0.2537  0.2537  4 O 2.33-2.41
Tl  0.5000  0.7463  0.7463  4 O 2.33-2.41
Tl  0.0000  0.7463  0.7463  4 O 2.33-2.41
Ca  0.2500  0.2502  0.7498  2 O 2.12
Ca  0.7500  0.7498  0.2502  2 O 2.12

No. 12
# Mg2AlAg

A relaxed Mg2AlAg crystal (GGA-PBE, Alexandria via LeMat-Bulk).

Output
D(E_F): 0.6 states/eV/f.u.
Density: 4.0 g/cm3
E_form: -73.9 meV/atom
SG: R-3m

Unit cell a=9.5598 b=9.5598 c=9.5598 alpha=18.53 beta=18.53 gamma=18.53
With the nearest neighbours (Å) after each atom.
Fractional coordinates of all 4 atoms:
Ag  0.2500  0.2500  0.2500  6 Mg 2.90, 6 Ag 3.08
Mg  0.9979  0.9979  0.9979  3 Ag 2.90, 3 Al 2.99, 6 Mg 3.08
Mg  0.5021  0.5021  0.5021  3 Ag 2.90, 3 Al 2.99, 6 Mg 3.08
Al  0.7500  0.7500  0.7500  6 Mg 2.99, 6 Al 3.08

density of number 11 (CaTl2O3)?
6.8 g/cm3

Repeat the seventh record exactly.
# NdTcP2Rh

A relaxed NdTcP2Rh crystal (GGA-PBE, Alexandria via LeMat-Bulk).

Output
D(E_F): 1.8 states/eV/f.u.
Density: 8.0 g/cm3
E_form: -1014.6 meV/atom
SG: I-4m2

Unit cell a=4.0897 b=4.0897 c=5.8153 alpha=110.59 beta=110.59 gamma=90.00
With the nearest neighbours (Å) after each atom.
Fractional coordinates of all 5 atoms:
P  0.6301  0.6301  0.2602  2 Tc 2.38, 2 Rh 2.38, 1 P 2.63
P  0.3699  0.3699  0.7398  2 Tc 2.38, 2 Rh 2.38, 1 P 2.63
Tc  0.7500  0.2500  0.5000  4 P 2.38
Rh  0.2500  0.7500  0.5000  4 P 2.38
Nd  0.0000  0.0000  0.0000  8 P 3.18, 4 Tc 3.25, 4 Rh 3.25